[1]
The following is a PBE calculation of Te8PdAu2 after structural relaxation, from Alexandria.

Cell lengths 7.172, 6.867, 6.867 Å; angles 76.13, 88.18, 88.18 degrees
Fractional coordinates of all 11 atoms:
Te: 0.286 0.155 0.155
Te: 0.871 0.874 0.418
Te: 0.677 0.445 0.445
Au: 0.665 0.181 0.181
Te: 0.323 0.555 0.555
Te: 0.129 0.126 0.582
Au: 0.335 0.819 0.819
Te: 0.871 0.418 0.874
Te: 0.714 0.845 0.845
Pd: 0.000 0.000 0.000
Te: 0.129 0.582 0.126

Output
**Formation energy from raw total energies**: 6.3 meV per atom
**Space group**: C2/m (12)
**Fermi-level density of states**: 5.8 states/eV/cell



[2]
The following is a PBE calculation of TePd3Au after structural relaxation, from Alexandria.

Cell lengths 4.915, 4.915, 4.915 Å; angles 90.00, 90.00, 90.00 degrees
Fractional coordinates of all 5 atoms:
Pd: 0.000 0.500 0.000
Au: 0.500 0.500 0.500
Te: 0.000 0.000 0.000
Pd: 0.000 0.000 0.500
Pd: 0.500 0.000 0.000

Output
**Formation energy from raw total energies**: 450.3 meV per atom
**Space group**: Pm-3m (221)
**Fermi-level density of states**: 2.4 states/eV/cell
**Energy above the most stable polymorph in this dataset**: 283.2 kJ/mol of formula units